Record 1
Si2SbMo: relaxed, PBE.

Values from the calculation:
**Energy**: -5.842 eV per atom
**Crystal system**: cubic

POSCAR file:
```
Si2SbMo
1.0
0.000 3.249 3.249
3.249 0.000 3.249
3.249 3.249 0.000
Si Sb Mo
2 1 1
direct
0.000 0.000 0.000 Si
0.250 0.250 0.250 Si
0.500 0.500 0.500 Sb
0.750 0.750 0.750 Mo
```


Record 2
HoBr2: relaxed, PBE.

Values from the calculation:
**Energy**: -2.632 eV per atom
**Crystal system**: cubic

POSCAR file:
```
HoBr2
1.0
0.000 4.407 4.407
4.407 0.000 4.407
4.407 4.407 0.000
Ho Br
2 4
direct
0.125 0.125 0.125 Ho
0.875 0.875 0.875 Ho
0.000 0.500 0.500 Br
0.500 0.000 0.500 Br
0.500 0.500 0.000 Br
0.500 0.500 0.500 Br
```


Record 3
ReBi2: relaxed, PBE.

Values from the calculation:
**Energy**: -6.435 eV per atom
**Crystal system**: monoclinic

POSCAR file:
```
ReBi2
1.0
6.733 -2.057 0.000
6.733 2.057 0.000
-0.897 0.000 5.646
Re Bi
2 4
direct
0.231 0.231 0.378 Re
0.769 0.769 0.622 Re
0.154 0.154 0.857 Bi
0.428 0.428 0.702 Bi
0.572 0.572 0.298 Bi
0.846 0.846 0.143 Bi
```